Record 1
First-principles (GGA-PBEsol) data for crystalline MgZr5 at its relaxed geometry, as listed in Alexandria via LeMat-Bulk.

Computed properties:
Formation energy from the elements (eV/atom): 0.038

Cell: 6.049 6.049 7.534 Å, 103.80 103.80 29.89°
Fractional positions:
Mg (0.000, 0.000, 0.000)
Zr (0.274, 0.274, 0.044)
Zr (0.323, 0.323, 0.663)
Zr (0.603, 0.603, 0.709)
Zr (0.664, 0.664, 0.323)
Zr (0.937, 0.937, 0.384)

Record 2
First-principles (GGA-PBEsol) data for crystalline MgZr at its relaxed geometry, as listed in Alexandria via LeMat-Bulk.

Computed properties:
Formation energy from the elements (eV/atom): 0.066

Cell: 3.019 3.019 5.471 Å, 90.00 90.00 120.00°
Fractional positions:
Mg (0.000, 0.000, 0.000)
Zr (0.333, 0.667, 0.500)

Record 3
First-principles (GGA-PBEsol) data for crystalline MgZr3 at its relaxed geometry, as listed in Alexandria via LeMat-Bulk.

Computed properties:
Formation energy from the elements (eV/atom): 0.046

Cell: 5.134 6.195 5.494 Å, 90.00 90.00 90.00°
Fractional positions:
Mg (0.250, 0.250, 0.163)
Mg (0.750, 0.750, 0.837)
Zr (0.250, 0.502, 0.661)
Zr (0.250, 0.750, 0.159)
Zr (0.250, 0.998, 0.661)
Zr (0.750, 0.002, 0.339)
Zr (0.750, 0.250, 0.841)
Zr (0.750, 0.498, 0.339)

Record 4
First-principles (GGA-PBEsol) data for crystalline MgZr2 at its relaxed geometry, as listed in Alexandria via LeMat-Bulk.

Computed properties:
Formation energy from the elements (eV/atom): 0.070

Cell: 5.530 5.530 5.530 Å, 146.94 134.79 57.14°
Fractional positions:
Mg (0.000, 0.000, 0.000)
Zr (0.333, 0.333, 0.000)
Zr (0.667, 0.667, 0.000)

Record 5
First-principles (GGA-PBEsol) data for crystalline MgZr3 at its relaxed geometry, as listed in Alexandria via LeMat-Bulk.

Computed properties:
Formation energy from the elements (eV/atom): 0.092

Cell: 5.462 5.462 5.465 Å, 99.05 99.05 33.00°
Fractional positions:
Mg (0.000, 0.000, 0.000)
Zr (0.254, 0.254, 0.749)
Zr (0.500, 0.500, 0.500)
Zr (0.746, 0.746, 0.251)

Record 6
First-principles (GGA-PBEsol) data for crystalline Mg3Zr4 at its relaxed geometry, as listed in Alexandria via LeMat-Bulk.

Computed properties:
Energy relative to the lowest polymorph listed for this composition (meV per atom): 0
Formation energy from the elements (eV/atom): -0.014

Cell: 17.064 17.064 17.064 Å, 169.79 169.79 14.46°
Fractional positions:
Mg (0.000, 0.000, 0.000)
Mg (0.286, 0.286, 0.000)
Mg (0.714, 0.714, 0.000)
Zr (0.141, 0.141, 0.000)
Zr (0.426, 0.426, 0.000)
Zr (0.574, 0.574, 0.000)
Zr (0.859, 0.859, 0.000)

Record 7
First-principles (GGA-PBEsol) data for crystalline MgZr2 at its relaxed geometry, as listed in Alexandria via LeMat-Bulk.

Computed properties:
Formation energy from the elements (eV/atom): 0.081

Cell: 8.224 8.224 5.225 Å, 90.00 90.00 158.26°
Fractional positions:
Mg (0.107, 0.893, 0.750)
Mg (0.893, 0.107, 0.250)
Zr (0.226, 0.774, 0.250)
Zr (0.437, 0.563, 0.750)
Zr (0.563, 0.437, 0.250)
Zr (0.774, 0.226, 0.750)

Record 8
First-principles (GGA-PBEsol) data for crystalline MgZr2 at its relaxed geometry, as listed in Alexandria via LeMat-Bulk.

Computed properties:
Formation energy from the elements (eV/atom): 0.048

Cell: 7.949 7.949 7.949 Å, 23.12 23.12 23.12°
Fractional positions:
Mg (0.000, 0.000, 0.000)
Zr (0.219, 0.219, 0.219)
Zr (0.781, 0.781, 0.781)

Record 9
First-principles (GGA-PBEsol) data for crystalline MgZr4 at its relaxed geometry, as listed in Alexandria via LeMat-Bulk.

Computed properties:
Energy relative to the lowest polymorph listed for this composition (meV per atom): 0
Formation energy from the elements (eV/atom): 0.049

Cell: 5.490 5.490 5.490 Å, 98.87 98.87 133.75°
Fractional positions:
Mg (0.000, 0.000, 0.000)
Zr (0.191, 0.389, 0.581)
Zr (0.389, 0.809, 0.198)
Zr (0.611, 0.191, 0.802)
Zr (0.809, 0.611, 0.419)

Record 10
First-principles (GGA-PBEsol) data for crystalline Mg3Zr4 at its relaxed geometry, as listed in Alexandria via LeMat-Bulk.

Computed properties:
Energy relative to the lowest polymorph listed for this composition (meV per atom): 139
Formation energy from the elements (eV/atom): 0.125

Cell: 5.555 5.555 5.660 Å, 90.00 90.00 120.00°
Fractional positions:
Mg (0.000, 0.500, 0.000)
Mg (0.500, 0.000, 0.000)
Mg (0.500, 0.500, 0.000)
Zr (0.000, 0.000, 0.273)
Zr (0.000, 0.000, 0.727)
Zr (0.333, 0.667, 0.500)
Zr (0.667, 0.333, 0.500)

Record 11
First-principles (GGA-PBEsol) data for crystalline MgZr3 at its relaxed geometry, as listed in Alexandria via LeMat-Bulk.

Computed properties:
Formation energy from the elements (eV/atom): 0.024

Cell: 9.434 9.434 9.434 Å, 153.00 153.00 38.56°
Fractional positions:
Mg (0.125, 0.125, 0.000)
Mg (0.875, 0.875, 0.000)
Zr (0.000, 0.500, 0.500)
Zr (0.250, 0.750, 0.500)
Zr (0.375, 0.375, 0.000)
Zr (0.500, 0.000, 0.500)
Zr (0.625, 0.625, 0.000)
Zr (0.750, 0.250, 0.500)

Record 12
First-principles (GGA-PBEsol) data for crystalline Mg2Zr at its relaxed geometry, as listed in Alexandria via LeMat-Bulk.

Computed properties:
Formation energy from the elements (eV/atom): 0.067

Cell: 13.754 13.754 13.754 Å, 161.53 161.53 26.23°
Fractional positions:
Mg (0.124, 0.374, 0.750)
Mg (0.291, 0.541, 0.750)
Mg (0.374, 0.124, 0.250)
Mg (0.459, 0.709, 0.750)
Mg (0.541, 0.291, 0.250)
Mg (0.626, 0.876, 0.750)
Mg (0.709, 0.459, 0.250)
Mg (0.876, 0.626, 0.250)
Zr (0.040, 0.790, 0.250)
Zr (0.210, 0.960, 0.250)
Zr (0.790, 0.040, 0.750)
Zr (0.960, 0.210, 0.750)

Record 13
First-principles (GGA-PBEsol) data for crystalline MgZr7 at its relaxed geometry, as listed in Alexandria via LeMat-Bulk.

Computed properties:
Formation energy from the elements (eV/atom): 0.071

Cell: 6.293 6.293 6.293 Å, 60.00 60.00 60.00°
Fractional positions:
Mg (0.000, 0.000, 0.000)
Zr (0.000, 0.000, 0.500)
Zr (0.000, 0.500, 0.000)
Zr (0.000, 0.500, 0.500)
Zr (0.500, 0.000, 0.000)
Zr (0.500, 0.000, 0.500)
Zr (0.500, 0.500, 0.000)
Zr (0.500, 0.500, 0.500)

Record 14
First-principles (GGA-PBEsol) data for crystalline MgZr2 at its relaxed geometry, as listed in Alexandria via LeMat-Bulk.

Computed properties:
Formation energy from the elements (eV/atom): 0.054

Cell: 6.265 4.443 9.381 Å, 90.00 90.00 90.00°
Fractional positions:
Mg (0.110, 0.250, 0.080)
Mg (0.390, 0.750, 0.580)
Mg (0.610, 0.250, 0.420)
Mg (0.890, 0.750, 0.920)
Zr (0.102, 0.250, 0.413)
Zr (0.146, 0.250, 0.744)
Zr (0.354, 0.750, 0.244)
Zr (0.398, 0.750, 0.913)
Zr (0.602, 0.250, 0.087)
Zr (0.646, 0.250, 0.756)
Zr (0.854, 0.750, 0.256)
Zr (0.898, 0.750, 0.587)

Record 15
First-principles (GGA-PBEsol) data for crystalline Mg2Zr at its relaxed geometry, as listed in Alexandria via LeMat-Bulk.

Computed properties:
Formation energy from the elements (eV/atom): 0.045

Cell: 3.069 3.069 8.017 Å, 90.00 90.00 120.00°
Fractional positions:
Mg (0.333, 0.667, 0.334)
Mg (0.667, 0.333, 0.666)
Zr (0.000, 0.000, 0.000)

Record 16
First-principles (GGA-PBEsol) data for crystalline Mg2Zr at its relaxed geometry, as listed in Alexandria via LeMat-Bulk.

Computed properties:
Formation energy from the elements (eV/atom): 0.047

Cell: 8.711 8.711 5.025 Å, 90.00 90.00 159.77°
Fractional positions:
Mg (0.055, 0.945, 0.750)
Mg (0.388, 0.612, 0.750)
Mg (0.612, 0.388, 0.250)
Mg (0.945, 0.055, 0.250)
Zr (0.273, 0.727, 0.250)
Zr (0.727, 0.273, 0.750)

Record 17
First-principles (GGA-PBEsol) data for crystalline MgZr5 at its relaxed geometry, as listed in Alexandria via LeMat-Bulk.

Computed properties:
Formation energy from the elements (eV/atom): 0.024

Cell: 3.117 3.117 13.734 Å, 90.00 90.00 90.00°
Fractional positions:
Mg (0.000, 0.000, 0.000)
Zr (0.000, 0.000, 0.336)
Zr (0.000, 0.000, 0.664)
Zr (0.500, 0.500, 0.173)
Zr (0.500, 0.500, 0.500)
Zr (0.500, 0.500, 0.827)

Record 18
First-principles (GGA-PBEsol) data for crystalline MgZr at its relaxed geometry, as listed in Alexandria via LeMat-Bulk.

Computed properties:
Formation energy from the elements (eV/atom): 0.053

Cell: 6.198 6.198 7.286 Å, 105.27 105.27 29.16°
Fractional positions:
Mg (0.000, 0.000, 0.000)
Mg (0.044, 0.044, 0.578)
Mg (0.385, 0.385, 0.253)
Zr (0.326, 0.326, 0.669)
Zr (0.681, 0.681, 0.334)
Zr (0.706, 0.706, 0.913)

Record 19
First-principles (GGA-PBEsol) data for crystalline MgZr at its relaxed geometry, as listed in Alexandria via LeMat-Bulk.

Computed properties:
Formation energy from the elements (eV/atom): 0.064

Cell: 3.128 4.403 6.421 Å, 90.00 91.07 90.00°
Fractional positions:
Mg (0.244, 0.250, 0.124)
Mg (0.756, 0.750, 0.876)
Zr (0.255, 0.250, 0.610)
Zr (0.745, 0.750, 0.390)

Record 20
First-principles (GGA-PBEsol) data for crystalline Mg2Zr at its relaxed geometry, as listed in Alexandria via LeMat-Bulk.

Computed properties:
Formation energy from the elements (eV/atom): 0.064

Cell: 6.182 6.182 7.698 Å, 104.66 104.66 27.83°
Fractional positions:
Mg (0.000, 0.000, 0.000)
Mg (0.062, 0.062, 0.628)
Mg (0.400, 0.400, 0.296)
Mg (0.731, 0.731, 0.963)
Zr (0.324, 0.324, 0.654)
Zr (0.675, 0.675, 0.348)